Material: AcAg2PN4
Method: DFT, PBE
State: relaxed Values from VASP.

Calculated values
As for the symmetry: I-42m. For the total energy, the calculation gives -6.23 eV per atom. As for the uncorrected formation energy: -1.357 eV/f.u.

Geometry as Quantum ESPRESSO input:
```
&SYSTEM
  ibrav = 0, nat = 8, ntyp = 4
/
ATOMIC_SPECIES
N 14.01 N.upf
P 30.97 P.upf
Ag 107.87 Ag.upf
Ac 227.00 Ac.upf
CELL_PARAMETERS angstrom
5.734 0.000 0.000
2.867 4.389 -0.605
2.867 -0.115 4.429
ATOMIC_POSITIONS crystal
N 0.000 0.466 0.192
N 0.341 0.192 0.466
N 0.000 0.808 0.534
N 0.659 0.534 0.808
P 0.000 0.500 0.500
Ag 0.500 0.750 0.250
Ag 0.500 0.250 0.750
Ac 0.000 0.000 0.000
```